[1]
Computed, not measured: a PBEsol-optimized structure of HgPtCl2 at the SCAN level of DFT.

```
HgPtCl2
1.0
3.667 0.000 0.000
1.833 3.175 0.000
1.833 1.058 8.394
Hg Pt Cl
1 1 2
Cartesian
0.000 0.000 0.000
3.667 2.117 4.197
1.833 1.058 2.872
5.500 3.175 5.523
```

Output
* magnetic moment: 2.00 μB per formula unit
* space group: R-3m, No. 166
* raw formation energy: -66 meV/atom
* excess energy over the best structure of this formula in the dataset: 0.209 eV per atom

[2]
Computed, not measured: a PBEsol-optimized structure of AlCoMo2Cl at the SCAN level of DFT.

```
AlCoMo2Cl
1.0
4.104 0.000 0.000
0.000 4.661 0.000
0.000 0.000 4.661
Mo Co Al Cl
2 1 1 1
Cartesian
0.000 0.000 2.331
0.000 2.331 0.000
2.052 0.000 0.000
0.000 0.000 0.000
2.052 2.331 2.331
```

Output
* magnetic moment: 0.67 μB per formula unit
* space group: P4/mmm, No. 123
* raw formation energy: 1724 meV/atom
* N(E_F): 5.89 states/eV per cell